# PmCdNi5 GGA-PBE optimized geometry
# electronic total energy = -5.16 eV per atom
# mass density = 8.84 g/cm³
# DFT formation energy = -0.2224 eV per atom
data_PmCdNi5
_chemical_formula_sum 'Pm4 Cd4 Ni20'
_cell_length_a 8.185
_cell_length_b 4.881
_cell_length_c 10.361
_cell_angle_alpha 90.00
_cell_angle_beta 90.00
_cell_angle_gamma 90.00
_space_group_name_H-M_alt 'P n m a'
_space_group_IT_number 62
loop_
_space_group_symop_operation_xyz
'x,y,z'
'-x,-y,-z'
'-x+1/2,-y,z+1/2'
'x+1/2,y,-z+1/2'
'x+1/2,-y+1/2,-z+1/2'
'-x+1/2,y+1/2,z+1/2'
'-x,y+1/2,-z'
'x,-y+1/2,z'
loop_
_atom_site_label
_atom_site_type_symbol
_atom_site_fract_x
_atom_site_fract_y
_atom_site_fract_z
Pm1 Pm 0.246 0.250 0.060
Cd1 Cd 0.138 0.750 0.864
Ni1 Ni 0.047 0.750 0.112
Ni2 Ni 0.067 0.000 0.313
Ni3 Ni 0.079 0.250 0.516
Ni4 Ni 0.188 0.250 0.739